# 1
## Dy6TeIr2Se3 (PBE)

Data for Dy6TeIr2Se3 after structural relaxation.

```
data_Dy6TeIr2Se3
_cell_length_a 18.2636
_cell_length_b 4.0618
_cell_length_c 8.5159
_cell_angle_alpha 90.00
_cell_angle_beta 105.44
_cell_angle_gamma 90.00
_space_group_name_H-M_alt 'C 1 2/m 1'
_space_group_IT_number 12
loop_
_space_group_symop_operation_xyz
'x,y,z'
'-x,-y,-z'
'-x,y,-z'
'x,-y,z'
'x+1/2,y+1/2,z'
'-x+1/2,-y+1/2,-z'
'-x+1/2,y+1/2,-z'
'x+1/2,-y+1/2,z'
loop_
_atom_site_label
_atom_site_type_symbol
_atom_site_fract_x
_atom_site_fract_y
_atom_site_fract_z
Dy1 Dy 0.0166 0.0000 0.2724
Dy2 Dy 0.1706 0.5000 0.5803
Dy3 Dy 0.1770 0.5000 0.1276
Te1 Te 0.0000 0.5000 0.0000
Ir1 Ir 0.1721 0.0000 0.3508
Se1 Se 0.0000 0.5000 0.5000
Se2 Se 0.1579 0.0000 0.8471
```

The calculation puts the uncorrected energy at -6.280 eV/atom. The size of the total moment comes out at 0.00 μB per formula unit.


# 2
## V3SnH (PBE)

Data for V3SnH after structural relaxation.

```
data_V3SnH
_cell_length_a 5.6322
_cell_length_b 5.6322
_cell_length_c 4.6082
_cell_angle_alpha 90.00
_cell_angle_beta 90.00
_cell_angle_gamma 120.00
_space_group_name_H-M_alt 'P 63/m m c'
_space_group_IT_number 194
_space_group_name_Hall '-P 6c 2c'
loop_
_atom_site_label
_atom_site_type_symbol
_atom_site_fract_x
_atom_site_fract_y
_atom_site_fract_z
V1 V 0.1567 0.3133 0.2500
Sn1 Sn 0.3333 0.6667 0.7500
H1 H 0.0000 0.0000 0.0000
```

The calculation puts the uncorrected energy at -7.088 eV/atom. The size of the total moment comes out at 0.00 μB per formula unit.